# 1
Compound: RbTl2HgAu
Source: Alexandria
Functional: PBE
Structure: relaxed

The structure in extended XYZ format:
```
5
Lattice="-4.5548 3.3903 0.1956 -0.9018 -1.5231 5.3986 3.2085 4.2111 1.7240" Properties=species:S:1:pos:R:3 pbc="T T T"
Hg 1.6042 2.1055 0.8620
Tl -2.2774 1.6951 0.0978
Tl -0.4509 -0.7615 2.6993
Au 0.0000 0.0000 0.0000
Rb -1.1241 3.0391 3.6591
```

Calculated values
* energy of formation from the pure elements: -0.13 eV per formula unit
* crystal system: tetragonal



# 2
Compound: CdSb8
Source: Alexandria
Functional: PBE
Structure: relaxed

The structure in extended XYZ format:
```
9
Lattice="2.2797 -5.7486 -3.7746 -2.4771 1.0560 6.7261 -6.1531 1.2677 -3.6088" Properties=species:S:1:pos:R:3 pbc="T T T"
Sb -2.6269 -3.0388 -5.0072
Sb -0.8991 -1.2013 3.2427
Sb -1.2466 -1.4421 -2.3762
Sb -4.1478 -0.7156 -1.4152
Sb -5.8528 1.5759 2.1141
Sb -2.7774 0.7478 1.0032
Cd 0.0000 0.0000 0.0000
Sb -2.2027 -2.7093 0.7579
Sb 0.7017 -3.4913 -0.2912
```

Calculated values
* formation energy from raw total energies: 0.2668 eV/atom
* crystal system: tetragonal



# 3
Compound: BeZn2Re
Source: Alexandria
Functional: PBE
Structure: relaxed

The structure in extended XYZ format:
```
4
Lattice="3.5320 0.0000 0.0000 0.0000 3.5351 0.0000 0.0000 0.0000 4.0506" Properties=species:S:1:pos:R:3 pbc="T T T"
Be 1.7660 0.0000 2.0253
Zn 1.7660 1.7675 0.0000
Zn 0.0000 0.0000 0.0000
Re 0.0000 1.7675 2.0253
```

Calculated values
* energy of formation from the pure elements: 0.48 eV per formula unit
* crystal system: tetragonal



# 4
Compound: CaCe2H6
Source: Alexandria
Functional: PBE
Structure: relaxed

The structure in extended XYZ format:
```
9
Lattice="-3.4297 1.6181 -0.4415 -1.4786 -4.0312 -3.2881 0.4650 -1.7717 6.4106" Properties=species:S:1:pos:R:3 pbc="T T T"
Ca 0.0000 0.0000 0.0000
H -1.7806 -4.0296 -0.9342
Ce -3.1134 -2.1934 -0.3585
Ce -1.3299 -1.9914 3.0395
H -1.0400 -2.0106 0.7126
H -3.4033 -2.1742 1.9684
H -2.0930 -0.2218 -1.0616
H -2.8154 -2.1913 -2.6680
H -2.6628 -0.1552 3.6152
```

Calculated values
* DFT total energy: -4.311 eV per atom
* crystal system: orthorhombic



# 5
Compound: Re2SiTe
Source: Alexandria
Functional: PBE
Structure: relaxed

The structure in extended XYZ format:
```
4
Lattice="-2.0472 -0.4429 -5.1355 -5.1072 -2.0181 -0.7768 3.2824 3.8880 2.2066" Properties=species:S:1:pos:R:3 pbc="T T T"
Re -3.8846 -1.3363 -3.2101
Si -1.1710 1.1073 -2.9425
Re -6.8471 -2.3554 -5.6582
Te -2.7010 0.3197 -0.7631
```

Calculated values
* formation energy from raw total energies: 0.6821 eV/atom
* crystal system: orthorhombic



# 6
Compound: TaB2IrAu
Source: Alexandria
Functional: PBE
Structure: relaxed

The structure in extended XYZ format:
```
5
Lattice="-3.7998 1.1034 -0.8134 -1.3210 -0.8982 4.9528 0.9097 3.8228 0.9359" Properties=species:S:1:pos:R:3 pbc="T T T"
Au -2.1055 2.0140 2.5377
B -1.8999 0.5517 -0.4067
Ta -0.6605 -0.4491 2.4764
Ir 0.0000 0.0000 0.0000
B 0.4549 1.9114 0.4680
```

Calculated values
* energy of formation from the pure elements: 3.85 eV per formula unit
* crystal system: tetragonal



# 7
Compound: Nd2Ga3Ir2
Source: Alexandria
Functional: PBE
Structure: relaxed

The structure in extended XYZ format:
```
14
Lattice="-1.2241 -2.7126 -3.0488 -4.0897 -3.4913 4.7482 -6.5426 6.9163 -0.5498" Properties=species:S:1:pos:R:3 pbc="T T T"
Ga -1.7770 -0.9358 -1.4309
Nd -3.9674 -1.9190 3.3002
Ga -8.6291 2.8863 0.8965
Nd -8.5468 -0.1921 0.6256
Ir -5.5896 -1.1721 0.3102
Ga -10.0794 1.6482 2.5805
Nd -3.3096 0.9046 0.5240
Nd -7.8890 2.6314 -2.1506
Ga -6.2860 -0.1171 2.6280
Ir -4.6503 3.2645 -1.0374
Ga -3.2273 -2.1739 0.2531
Ir -7.2061 -2.5521 2.1870
Ir -6.2668 1.8846 0.8394
Ga -5.5704 0.8295 -1.4784
```

Calculated values
* energy of formation from the pure elements: -4.27 eV per formula unit
* crystal system: orthorhombic



# 8
Compound: Tb4Dy3Se8
Source: Alexandria
Functional: PBE
Structure: relaxed

The structure in extended XYZ format:
```
15
Lattice="-1.8597 0.5163 -7.9136 6.0730 -4.8414 2.4498 -5.0727 -3.7652 5.1393" Properties=species:S:1:pos:R:3 pbc="T T T"
Se -0.1695 -6.1616 1.7630
Dy -3.4662 -1.6245 -1.3871
Tb -2.5364 -1.8826 2.5697
Se -0.6899 -1.9287 -2.0875
Se -3.2095 -3.7768 0.5086
Se -2.2428 -4.0385 4.4565
Tb 3.0365 -2.4207 1.2249
Dy -0.4297 -4.0452 -0.1622
Se 2.3500 -4.3136 -0.8330
Se -1.1118 -5.9006 -2.2462
Tb -0.9299 0.2581 -3.9568
Se 3.2431 -4.5682 3.1327
Se 0.2523 -2.1897 1.9218
Tb 0.0000 0.0000 0.0000
Dy 2.1066 -2.1625 -2.7319
```

Calculated values
* formation energy from raw total energies: -1.8405 eV/atom
* crystal system: monoclinic



# 9
Compound: Hf2TlIr2
Source: Alexandria
Functional: PBE
Structure: relaxed

The structure in extended XYZ format:
```
5
Lattice="-0.2986 -4.2705 -1.3320 -1.2652 -1.1998 4.1304 -5.9581 -1.9499 0.0419" Properties=species:S:1:pos:R:3 pbc="T T T"
Ir -2.0083 -2.5491 1.0776
Tl 0.0000 0.0000 0.0000
Hf -4.0026 -2.9425 2.7857
Hf -3.5193 -4.4778 0.0545
Ir -5.5135 -4.8711 1.7627
```

Calculated values
* energy of formation from the pure elements: -2.49 eV per formula unit
* crystal system: tetragonal



# 10
Compound: Co4AgPb
Source: Alexandria
Functional: PBE
Structure: relaxed

The structure in extended XYZ format:
```
6
Lattice="3.7306 -3.1248 -0.9378 0.6776 -3.9827 2.8706 -0.9477 -4.5273 -1.7795" Properties=species:S:1:pos:R:3 pbc="T T T"
Co 3.1691 -5.9259 -0.4135
Ag 0.0000 0.0000 0.0000
Co 0.8200 -6.6302 -0.8361
Pb 2.5954 -8.7261 0.1150
Co 1.2958 -4.3568 0.0574
Co 1.6361 -6.3567 1.4989
```

Calculated values
* energy of formation from the pure elements: 2.32 eV per formula unit
* crystal system: cubic



# 11
Compound: Ti2Sn2Rh
Source: Alexandria
Functional: PBE
Structure: relaxed

The structure in extended XYZ format:
```
10
Lattice="-2.4354 5.0852 -3.8276 -0.3841 -4.2082 -5.3464 -3.8599 -1.0298 1.0879" Properties=species:S:1:pos:R:3 pbc="T T T"
Sn -2.3225 1.5994 -6.7266
Sn -1.1826 -1.7960 -5.8963
Ti -2.5576 -2.4835 -3.5466
Sn -1.6369 2.6730 -3.2777
Ti -3.8487 -0.7447 -6.4816
Ti -4.1218 2.3307 -4.5395
Ti -2.8308 0.5919 -1.6045
Rh -1.4098 0.4385 -4.5870
Sn -0.4970 -0.7224 -2.4474
Rh 0.0000 0.0000 0.0000
```

Calculated values
* energy of formation from the pure elements: -1.31 eV per formula unit
* crystal system: tetragonal



# 12
Compound: SrIn3
Source: Alexandria
Functional: PBE
Structure: relaxed

The structure in extended XYZ format:
```
4
Lattice="4.8737 -0.7421 0.6693 3.0394 3.8815 0.6693 1.8128 0.7192 6.1864" Properties=species:S:1:pos:R:3 pbc="T T T"
In 7.3530 2.9171 5.2436
Sr 0.0000 0.0000 0.0000
In 2.3730 0.9414 2.2813
In 4.8630 1.9293 3.7625
```

Calculated values
* energy of formation from the pure elements: -1.05 eV per formula unit
* crystal system: monoclinic



Record-wise total magnetic moment values, in μB per formula unit: 0.0; 0.0; 0.0; 2.0; 0.0; 0.0; 0.0; 0.0; 0.0; 6.0; 0.0; 0.0